No. 1
Below is a geometry-optimized ScTa2CoAs structure, with properties calculated at the GGA-PBE level.

Unit cell a=4.718 b=4.718 c=4.785 alpha=90.00 beta=90.00 gamma=90.00
Fractional coordinates of all 5 atoms:
Sc1 0.000 0.000 0.000
Ta1 0.000 0.500 0.500
Ta2 0.500 0.000 0.500
Co1 0.500 0.500 0.000
As1 0.000 0.000 0.500

Space-group type: P4/mmm
Size of the total moment in μB/f.u.: 0.000
Energy of formation in eV per atom: 0.92
Calculated volume in A^3/atom: 21.30

=====

No. 2
Below is a geometry-optimized ScCoTc2As structure, with properties calculated at the GGA-PBE level.

Unit cell a=4.524 b=4.524 c=4.855 alpha=90.00 beta=90.00 gamma=90.00
Fractional coordinates of all 5 atoms:
Sc1 0.000 0.000 0.000
Co1 0.500 0.500 0.000
Tc1 0.000 0.500 0.500
Tc2 0.500 0.000 0.500
As1 0.000 0.000 0.500

Space-group type: P4/mmm
Size of the total moment in μB/f.u.: 1.206
Energy of formation in eV per atom: 0.95
Calculated volume in A^3/atom: 19.87

=====

No. 3
Below is a geometry-optimized Sc2TiCoAs structure, with properties calculated at the GGA-PBE level.

Unit cell a=5.039 b=5.039 c=4.272 alpha=90.00 beta=90.00 gamma=90.00
Fractional coordinates of all 5 atoms:
Sc1 0.000 0.500 0.000
Sc2 0.500 0.000 0.000
Ti1 0.000 0.000 0.500
Co1 0.500 0.500 0.500
As1 0.500 0.500 0.000

Space-group type: P4/mmm
Size of the total moment in μB/f.u.: 3.454
Energy of formation in eV per atom: 0.16
Calculated volume in A^3/atom: 21.69